(1)
Crystalline Os3C4 at its relaxed geometry. Source: Alexandria, functional PBE.

Results
E_form: 10.1 eV/f.u.
space-group type: Pm-3m, No. 221
energy relative to the lowest polymorph listed for this composition: 349 meV per atom
DFT total energy: -8.64 eV/atom

Unit cell a=4.243 b=4.243 c=4.243 alpha=90.00 beta=90.00 gamma=90.00
Sites, in units of the cell vectors:
C  0.500  0.500  0.000
C  0.500  0.000  0.500
C  0.000  0.500  0.500
C  0.000  0.000  0.000
Os  0.500  0.000  0.000
Os  0.000  0.000  0.500
Os  0.000  0.500  0.000



(2)
Crystalline Ac3TaSe6 at its relaxed geometry. Source: Alexandria, functional PBE.

Results
space-group type: Cmc2_1, No. 36
ΔE_f (raw): -1.5131 eV/atom
DFT total energy: -6.02 eV/atom

Unit cell a=7.272 b=9.597 c=9.597 alpha=102.20 beta=90.00 gamma=90.00
Each line ends with the local moment (μB).
Sites, in units of the cell vectors:
Ac  0.974  0.084  0.279  0.08
Ac  0.474  0.916  0.721  0.08
Ac  0.474  0.279  0.084  0.08
Ac  0.403  0.397  0.603  0.02
Ac  0.903  0.603  0.397  0.02
Ac  0.974  0.721  0.916  0.08
Se  0.686  0.903  0.423  0.00
Se  0.190  0.683  0.637  0.00
Se  0.669  0.965  0.035  0.00
Se  0.690  0.317  0.363  0.00
Se  0.690  0.637  0.683  0.00
Se  0.169  0.035  0.965  0.00
Se  0.186  0.781  0.219  -0.01
Se  0.190  0.363  0.317  0.00
Se  0.686  0.577  0.097  0.00
Se  0.186  0.423  0.903  0.00
Se  0.686  0.219  0.781  -0.01
Se  0.186  0.097  0.577  0.00
Ta  0.028  0.192  0.808  0.97
Ta  0.528  0.808  0.192  0.97